{"formula": "LiTa2Cd", "functional": "PBEsol", "state": "optimized geometry", "final_energy_ev_per_atom": -6.6495, "delta_e_f_ev_per_atom": 0.42, "magnetic_moment_mub_per_fu": 0.00, "crystal_system": "orthorhombic", "volume_a3_per_cell": 71.7, "lattice": [[2.735, 0.004, 0.000], [-0.981, 2.553, 0.000], [0.000, 0.000, 10.271]], "species": ["Cd", "Li", "Ta", "Ta"], "frac_coords": [[0.500, 0.500, 0.500], [0.500, 0.500, 0.000], [0.000, 0.000, 0.250], [0.000, 0.000, 0.750]]}


{"formula": "LiTaCd2", "functional": "PBEsol", "state": "optimized geometry", "final_energy_ev_per_atom": -3.8778, "delta_e_f_ev_per_atom": 0.35, "magnetic_moment_mub_per_fu": 0.00, "crystal_system": "cubic", "volume_a3_per_cell": 72.2, "lattice": [[4.674, 0.000, 0.000], [2.337, 4.048, 0.000], [2.337, 1.349, 3.816]], "species": ["Cd", "Cd", "Li", "Ta"], "frac_coords": [[0.750, 0.750, 0.750], [0.250, 0.250, 0.250], [0.500, 0.500, 0.500], [0.000, 0.000, 0.000]]}


{"formula": "LiTaCd3", "functional": "PBEsol", "state": "optimized geometry", "final_energy_ev_per_atom": -2.6202, "delta_e_f_ev_per_atom": 1.00, "magnetic_moment_mub_per_fu": 2.02, "crystal_system": "cubic", "volume_a3_per_cell": 154.1, "lattice": [[5.361, 0.000, 0.000], [0.000, 5.361, 0.000], [0.000, 0.000, 5.361]], "species": ["Cd", "Cd", "Cd", "Li", "Ta"], "frac_coords": [[0.000, 0.500, 0.000], [0.000, 0.000, 0.500], [0.500, 0.000, 0.000], [0.500, 0.500, 0.500], [0.000, 0.000, 0.000]]}


{"formula": "LiTa2Cd", "functional": "PBEsol", "state": "optimized geometry", "final_energy_ev_per_atom": -6.7928, "delta_e_f_ev_per_atom": 0.27, "magnetic_moment_mub_per_fu": 0.00, "crystal_system": "orthorhombic", "volume_a3_per_cell": 69.1, "lattice": [[3.099, 0.000, 0.000], [0.000, 4.406, 0.000], [-1.549, -2.203, 5.059]], "species": ["Cd", "Li", "Ta", "Ta"], "frac_coords": [[0.000, 0.500, 0.000], [0.500, 0.000, 0.000], [0.748, 0.748, 0.497], [0.252, 0.252, 0.503]]}